The following is a SCAN calculation of a PBEsol-optimized structure of Mn3RhC, from Alexandria via LeMat-Bulk.

Results
VASP energy in Ry per atom: -1.435
Energy relative to the elements in meV/atom: 199

Lattice parameters (Å, degrees): 3.7238 3.7238 3.7238 90.00 90.00 90.00
Element x y z (fractional)
Rh1 0.5000 0.5000 0.5000
Mn1 0.5000 0.0000 0.0000
Mn2 0.0000 0.5000 0.0000
C1 0.0000 0.0000 0.0000
Mn3 0.0000 0.0000 0.5000

The following is a SCAN calculation of a PBEsol-optimized structure of Mn2RuCS, from Alexandria via LeMat-Bulk.

Results
VASP energy in Ry per atom: -1.253
Raw formation energy in kJ per mole of atoms: 112.2

Lattice parameters (Å, degrees): 3.5104 4.2781 4.2781 90.00 90.00 90.00
Element x y z (fractional)
Mn1 0.0000 0.0000 0.5000
Mn2 0.0000 0.5000 0.0000
Ru1 0.5000 0.5000 0.5000
S1 0.0000 0.0000 0.0000
C1 0.5000 0.0000 0.0000

The following is a SCAN calculation of a PBEsol-optimized structure of Ta6MnC3S6, from Alexandria via LeMat-Bulk.

Results
VASP energy in Ry per atom: -2.396
Raw formation energy in kJ per mole of atoms: -95.1

Lattice parameters (Å, degrees): 5.6792 5.6792 8.7770 96.20 96.20 120.02
Element x y z (fractional)
C1 0.1678 0.8322 0.5000
S1 0.9421 0.6052 0.8254
Ta1 0.8777 0.8777 0.6320
Ta2 0.2114 0.5444 0.6338
C2 0.5000 0.5000 0.5000
Mn1 0.0000 0.0000 0.0000
Ta3 0.5444 0.2114 0.6338
Ta4 0.7886 0.4556 0.3662
S2 0.0579 0.3948 0.1746
C3 0.8322 0.1678 0.5000
S3 0.6052 0.9421 0.8254
S4 0.2794 0.2794 0.8263
Ta5 0.4556 0.7886 0.3662
Ta6 0.1223 0.1223 0.3680
S5 0.3948 0.0579 0.1746
S6 0.7206 0.7206 0.1737

The following is a SCAN calculation of a PBEsol-optimized structure of Sc2MnC, from Alexandria via LeMat-Bulk.

Results
VASP energy in Ry per atom: -0.970
Energy relative to the elements in meV/atom: 1005

Lattice parameters (Å, degrees): 3.0799 3.0799 8.7725 79.89 79.89 60.00
Element x y z (fractional)
Mn1 0.5000 0.5000 0.5000
Sc1 0.9172 0.9172 0.2484
Sc2 0.0828 0.0828 0.7516
C1 0.0000 0.0000 0.0000

The following is a SCAN calculation of a PBEsol-optimized structure of Sc2MnSnC, from Alexandria via LeMat-Bulk.

Results
VASP energy in Ry per atom: -1.372
Energy relative to the elements in meV/atom: -115

Lattice parameters (Å, degrees): 4.3989 4.3989 4.5999 90.00 90.00 90.00
Element x y z (fractional)
Sc1 0.0000 0.5000 0.0000
Mn1 0.5000 0.5000 0.5000
Sn1 0.0000 0.0000 0.5000
Sc2 0.5000 0.0000 0.0000
C1 0.0000 0.0000 0.0000

The following is a SCAN calculation of a PBEsol-optimized structure of Sc2TaMnC, from Alexandria via LeMat-Bulk.

Results
VASP energy in Ry per atom: -1.744
Energy relative to the elements in meV/atom: 951

Lattice parameters (Å, degrees): 3.6132 4.8318 4.8318 90.00 90.00 90.00
Element x y z (fractional)
Sc1 0.0000 0.0000 0.5000
Mn1 0.0000 0.0000 0.0000
Ta1 0.5000 0.5000 0.5000
Sc2 0.0000 0.5000 0.0000
C1 0.5000 0.0000 0.0000

| no. | D(E_F) (states/eV per cell) |
| --- | --- |
| 1 | 6.02 |
| 2 | 4.07 |
| 3 | 3.98 |
| 4 | 2.89 |
| 5 | 3.37 |
| 6 | 5.78 |